1.
LiMnSe2 | PBE | relaxed

Formation energy without anion corrections (eV/atom): -0.595
Theoretical density (Mg/m³): 3.76
Space-group type: P2/m
Total magnetic moment (μB per formula unit): 4.0

abc: 3.447 4.337 7.355
angles: 61.96 90.00 90.00
Positions (direct):
Li 0.500 0.250 0.250
Mn 0.500 0.750 0.750
Se 0.000 0.733 0.990
Se 0.000 0.767 0.510

=====

2.
RbMnPt | PBE | relaxed

Theoretical density (Mg/m³): 6.69
Space-group type: P1
Total magnetic moment (μB per formula unit): 0.1
Excess energy over the best structure of this formula in the dataset (kcal/mol of atoms): 3.81
Formation energy from the elements (kJ per mole of atoms): 19

abc: 3.935 3.934 12.578
angles: 94.77 98.94 60.00
Positions (direct):
Mn 0.746 0.799 0.876
Mn 0.413 0.466 0.876
Pt 0.027 0.130 0.768
Pt 0.132 0.135 0.985
Rb 0.894 0.806 0.182
Rb 0.595 0.792 0.570

=====

3.
In2MoW | PBE | relaxed

Theoretical density (Mg/m³): 11.55
Space-group type: I-4m2
Total magnetic moment (μB per formula unit): 0.0
Excess energy over the best structure of this formula in the dataset (kcal/mol of atoms): 6.28
Formation energy from the elements (kJ per mole of atoms): 55

abc: 5.040 5.040 5.040
angles: 130.03 130.03 73.36
Positions (direct):
In 0.000 0.000 0.000
In 0.250 0.750 0.500
Mo 0.500 0.500 0.000
W 0.750 0.250 0.500

=====

4.
Sr2CuBr | PBE | relaxed

Formation energy without anion corrections (eV/atom): -0.503
Theoretical density (Mg/m³): 3.90
Space-group type: I-4m2
Total magnetic moment (μB per formula unit): 0.0
Excess energy over the best structure of this formula in the dataset (kcal/mol of atoms): 6.04

abc: 7.513 7.513 7.513
angles: 145.44 145.44 49.68
Positions (direct):
Br 0.500 0.500 0.000
Cu 0.750 0.250 0.500
Sr 0.000 0.000 0.000
Sr 0.250 0.750 0.500